Record 1
VASP calculation (PBE-GGA) on an optimized crystal structure of Ta2IrCl.

Values from the calculation:
Its energy relative to the lowest polymorph listed for this composition is 581 meV per atom. Its crystal system is orthorhombic. The value obtained for the calculated density is 13.9 g/cm³. The formation energy (no corrections) is 0.4096 eV per atom.

Unit cell a=3.1011 b=5.3799 c=4.2070 alpha=90.00 beta=90.00 gamma=90.00
Closest atoms and distances in Å follow each position.
Fractional coordinates of all 4 atoms:
Cl (0.5000, 0.0000, 0.5000)  4 Ta 2.61
Ir (0.0000, 0.5000, 0.5000)  4 Ta 2.61
Ta (0.0000, 0.0000, 0.0000)  4 Cl 2.61
Ta (0.5000, 0.5000, 0.0000)  4 Ir 2.61

Record 2
VASP calculation (PBE-GGA) on an optimized crystal structure of TaIrCl2.

Values from the calculation:
Its energy relative to the lowest polymorph listed for this composition is 1317 meV per atom. Its crystal system is tetragonal. The value obtained for the calculated density is 11.8 g/cm³. The formation energy (no corrections) is 0.7507 eV per atom.

Unit cell a=3.1493 b=3.1498 c=6.2890 alpha=90.00 beta=90.00 gamma=90.00
Closest atoms and distances in Å follow each position.
Fractional coordinates of all 4 atoms:
Cl (0.0000, 0.0000, 0.9782)  4 Ta 2.65, 4 Ir 2.81, 1 Cl 2.87
Cl (0.0000, 0.0000, 0.5218)  4 Ta 2.65, 4 Ir 2.81, 1 Cl 2.87
Ir (0.5000, 0.5000, 0.2500)  8 Cl 2.81
Ta (0.5000, 0.5000, 0.7500)  8 Cl 2.65

- What is the formation energy (no corrections) in the second record?
  0.7507 eV per atom